#i
{
  "formula": "Cs2HSe",
  "functional": "PBE",
  "state": "optimized geometry",
  "lattice": [[-3.221, -4.837, 1.429], [-4.791, 0.536, 3.545], [-5.493, -0.713, -2.265]],
  "species": ["Cs", "Cs", "H", "Se"],
  "fractional_positions": [[0.250, 0.250, 0.250], [0.750, 0.750, 0.750], [0.000, 0.000, 0.000], [0.500, 0.500, 0.500]],
  "magnetic_moment_mub_per_atom": 0.250,
  "sg": "Fm-3m",
  "vol_a3_per_cell": 152
}

=====

#ii
{
  "formula": "Cs2HSe",
  "functional": "PBE",
  "state": "optimized geometry",
  "lattice": [[8.408, -0.005, -0.041], [4.209, 5.387, 0.745], [4.234, 2.222, 4.943]],
  "species": ["H", "Se", "Cs", "Cs"],
  "fractional_positions": [[0.568, 0.625, 0.875], [0.750, 0.625, 0.875], [0.353, 0.363, 0.614], [0.829, 0.887, 0.137]],
  "magnetic_moment_mub_per_atom": 0.096,
  "sg": "Cm",
  "vol_a3_per_cell": 211
}

=====

It is #ii that is most stable; the runner-up trails by 161 meV per atom.

=====

#i
{
  "formula": "CsHSe2",
  "functional": "PBE",
  "state": "optimized geometry",
  "lattice": [[6.416, 0.000, 0.000], [0.000, 6.416, 0.000], [3.208, 3.208, 4.841]],
  "species": ["H", "H", "Se", "Se", "Se", "Se", "Cs", "Cs"],
  "fractional_positions": [[0.250, 0.750, 0.500], [0.500, 0.500, 0.000], [0.375, 0.125, 0.250], [0.375, 0.625, 0.250], [0.875, 0.625, 0.750], [0.375, 0.625, 0.750], [0.750, 0.250, 0.500], [0.000, 0.000, 0.000]],
  "magnetic_moment_mub_per_atom": 0.000,
  "sg": "I4_1/amd",
  "vol_a3_per_cell": 199
}

=====

#ii
{
  "formula": "CsHSe2",
  "functional": "PBE",
  "state": "optimized geometry",
  "lattice": [[2.667, 0.000, 6.299], [-1.333, 2.310, 6.299], [-1.333, -2.310, 6.299]],
  "species": ["Se", "Se", "H", "Cs"],
  "fractional_positions": [[0.821, 0.821, 0.821], [0.179, 0.179, 0.179], [0.500, 0.500, 0.500], [0.000, 0.000, 0.000]],
  "magnetic_moment_mub_per_atom": 0.000,
  "sg": "R-3m",
  "vol_a3_per_cell": 116
}

=====

It is #i that is most stable; the runner-up trails by 155 meV per atom.

=====

#i
{
  "formula": "CsTeHSe",
  "functional": "PBE",
  "state": "optimized geometry",
  "lattice": [[-3.451, 0.629, -2.817], [-3.428, -2.497, 3.673], [0.481, 4.886, 2.984]],
  "species": ["Se", "H", "Te", "Cs"],
  "fractional_positions": [[0.755, 0.750, 0.212], [0.926, 0.689, 0.770], [0.560, 0.725, 0.594], [0.208, 0.229, 0.043]],
  "magnetic_moment_mub_per_atom": 0.000,
  "sg": "P1",
  "vol_a3_per_cell": 139
}

=====

#ii
{
  "formula": "CsTeHSe",
  "functional": "PBE",
  "state": "optimized geometry",
  "lattice": [[4.941, 0.000, 0.000], [-2.394, 4.987, 0.000], [-0.214, -2.076, 5.875]],
  "species": ["H", "Se", "Cs", "Te"],
  "fractional_positions": [[0.881, 0.509, 0.176], [0.082, 0.361, 0.154], [0.043, 0.720, 0.731], [0.613, 0.859, 0.265]],
  "magnetic_moment_mub_per_atom": 0.000,
  "sg": "P1",
  "vol_a3_per_cell": 145
}

=====

#iii
{
  "formula": "CsTeHSe",
  "functional": "PBE",
  "state": "optimized geometry",
  "lattice": [[-3.566, -0.685, -3.420], [-2.933, -4.858, 0.412], [-4.137, 1.301, 3.851]],
  "species": ["H", "Se", "Te", "Cs"],
  "fractional_positions": [[0.928, 0.109, 0.794], [0.255, 0.994, 0.738], [0.351, 0.386, 0.843], [0.759, 0.648, 0.299]],
  "magnetic_moment_mub_per_atom": 0.000,
  "sg": "P1",
  "vol_a3_per_cell": 144
}

=====

#iv
{
  "formula": "CsTeHSe",
  "functional": "PBE",
  "state": "optimized geometry",
  "lattice": [[4.796, 0.002, -0.158], [-0.048, 5.543, 0.110], [-1.819, -0.465, 5.423]],
  "species": ["H", "Cs", "Se", "Te"],
  "fractional_positions": [[0.825, 0.784, 0.428], [0.896, 0.291, 0.857], [0.349, 0.764, 0.710], [0.448, 0.835, 0.298]],
  "magnetic_moment_mub_per_atom": 0.000,
  "sg": "P1",
  "vol_a3_per_cell": 143
}

=====

It is #iii that is most stable; the runner-up trails by 7 meV per atom.

=====

#i
{
  "formula": "Cs2SnH4",
  "functional": "PBE",
  "state": "optimized geometry",
  "lattice": [[7.291, 0.953, 2.555], [-3.936, 6.196, 2.592], [-0.605, 0.953, 7.703]],
  "species": ["H", "H", "H", "H", "H", "H", "H", "H", "Sn", "Sn", "Cs", "Cs", "Cs", "Cs"],
  "fractional_positions": [[0.349, 0.034, 0.237], [0.270, 0.237, 0.414], [0.230, 0.216, 0.935], [0.651, 0.414, 0.315], [0.849, 0.013, 0.216], [0.770, 0.836, 0.013], [0.151, 0.935, 0.836], [0.730, 0.315, 0.034], [0.500, 0.250, 0.250], [0.000, 0.000, 0.000], [0.436, 0.625, 0.439], [0.936, 0.811, 0.625], [0.564, 0.125, 0.811], [0.064, 0.439, 0.125]],
  "magnetic_moment_mub_per_atom": 0.000,
  "sg": "I-42d",
  "vol_a3_per_cell": 357
}

=====

#ii
{
  "formula": "Cs2SnH4",
  "functional": "PBE",
  "state": "optimized geometry",
  "lattice": [[4.520, 0.000, 0.000], [0.000, 4.520, 0.000], [2.260, 2.260, 7.669]],
  "species": ["Sn", "H", "H", "H", "H", "Cs", "Cs"],
  "fractional_positions": [[0.000, 0.000, 0.000], [0.854, 0.854, 0.292], [0.000, 0.500, 0.000], [0.146, 0.146, 0.708], [0.500, 0.000, 0.000], [0.357, 0.357, 0.286], [0.643, 0.643, 0.714]],
  "magnetic_moment_mub_per_atom": 0.000,
  "sg": "I4/mmm",
  "vol_a3_per_cell": 157
}

=====

It is #ii that is most stable; the runner-up trails by 109 meV per atom.

=====

#i
{
  "formula": "CsSnH3",
  "functional": "PBE",
  "state": "optimized geometry",
  "lattice": [[-3.539, -0.826, 3.292], [-3.070, -1.250, -3.613], [1.448, -4.669, 0.385]],
  "species": ["H", "H", "H", "Cs", "Sn"],
  "fractional_positions": [[0.000, 0.000, 0.500], [0.500, 0.000, 0.000], [0.000, 0.500, 0.000], [0.000, 0.000, 0.000], [0.500, 0.500, 0.500]],
  "magnetic_moment_mub_per_atom": 0.000,
  "sg": "Pm-3m",
  "vol_a3_per_cell": 118
}

=====

#ii
{
  "formula": "CsSnH3",
  "functional": "PBE",
  "state": "optimized geometry",
  "lattice": [[6.667, 0.259, 0.193], [2.907, 6.006, 0.193], [2.907, 1.902, 5.700]],
  "species": ["H", "H", "H", "H", "H", "H", "Sn", "Sn", "Cs", "Cs"],
  "fractional_positions": [[0.319, 0.674, 0.715], [0.215, 0.174, 0.819], [0.715, 0.319, 0.674], [0.819, 0.215, 0.174], [0.674, 0.715, 0.319], [0.174, 0.819, 0.215], [0.503, 0.503, 0.503], [0.003, 0.003, 0.003], [0.261, 0.261, 0.261], [0.761, 0.761, 0.761]],
  "magnetic_moment_mub_per_atom": 0.000,
  "sg": "R3c",
  "vol_a3_per_cell": 219
}

=====

It is #ii that is most stable; the runner-up trails by 1187 meV per atom.

=====

#i
{
  "formula": "Cs2SrH",
  "functional": "PBE",
  "state": "optimized geometry",
  "lattice": [[4.435, 0.000, 0.000], [2.218, 3.841, 0.000], [2.218, 1.280, 12.458]],
  "species": ["Cs", "Cs", "H", "Sr"],
  "fractional_positions": [[0.882, 0.882, 0.353], [0.118, 0.118, 0.647], [0.500, 0.500, 0.500], [0.000, 0.000, 0.000]],
  "magnetic_moment_mub_per_atom": 0.000,
  "sg": "R-3m",
  "vol_a3_per_cell": 212
}

=====

#ii
{
  "formula": "Cs2SrH",
  "functional": "PBE",
  "state": "optimized geometry",
  "lattice": [[-6.279, -0.597, -3.466], [-2.075, -6.376, -2.615], [-5.475, -3.533, 3.055]],
  "species": ["Cs", "Cs", "Sr", "H"],
  "fractional_positions": [[0.250, 0.250, 0.250], [0.750, 0.750, 0.750], [0.500, 0.500, 0.500], [0.000, 0.000, 0.000]],
  "magnetic_moment_mub_per_atom": 0.000,
  "sg": "Fm-3m",
  "vol_a3_per_cell": 264
}

=====

It is #i that is most stable; the runner-up trails by 459 meV per atom.